No. 1
This record from Alexandria via LeMat-Bulk describes a relaxed DyTmIr2 crystal. The functional is PBE.

As for the excess energy over the best structure of this formula in the dataset: 0.006 eV/atom. The value obtained for the formation energy from the elements is -862 meV per atom.

The space group is Pmma (No. 51) and the conventional cell measures 4.8889, 3.2976 and 9.7801 Å, with angles of 90.00, 90.00 and 90.00 degrees. The distinct sites, in fractional coordinates, are Dy at (0.2500, 0.0000, 0.1261), Tm at (0.2500, 0.0000, 0.6238), Ir at (0.2500, 0.5000, 0.3777) and Ir at (0.2500, 0.5000, 0.8719).

No. 2
This record from Alexandria via LeMat-Bulk describes a relaxed PaCo12P6 crystal. The functional is PBE.

The value obtained for the formation energy from the elements is -523 meV per atom.

The space group is R-3m (No. 166, hexagonal axes) and the conventional cell measures 10.2490, 10.2490 and 7.4424 Å, with angles of 90.00, 90.00 and 120.00 degrees. The distinct sites, in fractional coordinates, are Pa at (0.0000, 0.0000, 0.0000), Co at (0.0000, 0.3715, 0.5000), Co at (0.0815, 0.1630, 0.3466) and P at (0.0378, 0.5189, 0.2731).

No. 3
This record from Alexandria via LeMat-Bulk describes a relaxed Sm2AgOsC crystal. The functional is PBE.

The value obtained for the formation energy from the elements is -298 meV per atom.

The space group is P4/mmm (No. 123) and the conventional cell measures 5.1560, 5.1560 and 3.9056 Å, with angles of 90.00, 90.00 and 90.00 degrees. The distinct sites, in fractional coordinates, are Sm at (0.0000, 0.5000, 0.0000), Ag at (0.0000, 0.0000, 0.5000), Os at (0.5000, 0.5000, 0.5000) and C at (0.5000, 0.5000, 0.0000).

No. 4
This record from Alexandria via LeMat-Bulk describes a relaxed Ba2MnIn crystal. The functional is PBE.

As for the excess energy over the best structure of this formula in the dataset: 0.149 eV/atom. The value obtained for the formation energy from the elements is 234 meV per atom.

The space group is I-4m2 (No. 119) and the conventional cell measures 5.6746, 5.6746 and 8.0815 Å, with angles of 90.00, 90.00 and 90.00 degrees. The distinct sites, in fractional coordinates, are Ba at (0.0000, 0.0000, 0.0000), Ba at (0.0000, 0.5000, 0.2500), Mn at (0.0000, 0.0000, 0.5000) and In at (0.0000, 0.5000, 0.7500).

No. 5
This record from Alexandria via LeMat-Bulk describes a relaxed Sr2IrSe crystal. The functional is PBE.

The calculation puts the formation energy without anion corrections at -0.145 eV per atom.

The space group is F-43m (No. 216) and the conventional cell measures 7.2697, 7.2697 and 7.2697 Å, with angles of 90.00, 90.00 and 90.00 degrees. The distinct sites, in fractional coordinates, are Sr at (0.0000, 0.0000, 0.0000), Sr at (0.2500, 0.2500, 0.2500), Ir at (0.0000, 0.0000, 0.5000) and Se at (0.2500, 0.2500, 0.7500).

No. 6
This record from Alexandria via LeMat-Bulk describes a relaxed Ca2LaLu crystal. The functional is PBE.

As for the excess energy over the best structure of this formula in the dataset: 0.000 eV/atom. The value obtained for the formation energy from the elements is 163 meV per atom.

The space group is Fm-3m (No. 225) and the conventional cell measures 8.3706, 8.3706 and 8.3706 Å, with angles of 90.00, 90.00 and 90.00 degrees. The distinct sites, in fractional coordinates, are Ca at (0.2500, 0.2500, 0.2500), La at (0.0000, 0.0000, 0.0000) and Lu at (0.0000, 0.0000, 0.5000).

No. 7
This record from Alexandria via LeMat-Bulk describes a relaxed K2YMo crystal. The functional is PBE.

As for the excess energy over the best structure of this formula in the dataset: 0.438 eV/atom. The value obtained for the formation energy from the elements is 1219 meV per atom.

The space group is I-42d (No. 122) and the conventional cell measures 4.4293, 4.4293 and 26.9722 Å, with angles of 90.00, 90.00 and 90.00 degrees. The distinct sites, in fractional coordinates, are K at (0.2400, 0.2500, 0.1250), Y at (0.0000, 0.0000, 0.5000) and Mo at (0.0000, 0.0000, 0.0000).

No. 8
This record from Alexandria via LeMat-Bulk describes a relaxed Dy4In2Hg crystal. The functional is PBE.

As for the excess energy over the best structure of this formula in the dataset: 0.074 eV/atom. The value obtained for the formation energy from the elements is -243 meV per atom.

The space group is P2_1/m (No. 11) and the conventional cell measures 7.2079, 6.6854 and 9.0755 Å, with angles of 90.00, 111.28 and 90.00 degrees. The distinct sites, in fractional coordinates, are Dy at (0.0943, 0.2500, 0.0551), Dy at (0.1641, 0.0075, 0.7250), Dy at (0.3137, 0.7500, 0.3340), In at (0.2169, 0.2500, 0.4398), In at (0.4387, 0.7500, 0.0329) and Hg at (0.4856, 0.7500, 0.6964).

no.,mass density (g/cm³)
1,15.079
2,8.271
3,9.769
4,5.672
5,7.718
6,4.462
7,3.302
8,8.803